First-principles (PBE) data for a relaxed structure of LiTm3Cu8, as listed in the Alexandria database.

Structure (extended XYZ):
```
12
Lattice="4.917 0.000 1.484 2.234 4.380 1.484 0.011 0.007 8.848" Properties=species:S:1:pos:R:3 pbc="T T T"
Tm 7.092 4.344 3.164
Tm 2.718 1.665 8.768
Tm 3.634 2.226 5.735
Cu 4.245 4.135 3.709
Cu 5.613 1.902 3.709
Cu 4.256 4.115 8.109
Cu 5.600 1.921 8.109
Cu 1.352 0.828 4.406
Cu 6.719 4.115 8.852
Cu 4.923 3.015 10.350
Cu 3.106 1.902 2.953
Li 6.230 3.816 6.019
```

Properties
**Energy of formation**: -0.20 eV per atom
**Magnetic moment**: 0.00 μB/atom
**Space group**: R3m
**Final energy**: -50.5 eV per cell



First-principles (PBE) data for a relaxed structure of SiMoSe2, as listed in the Alexandria database.

Structure (extended XYZ):
```
4
Lattice="7.216 0.020 0.026 5.381 4.808 -0.026 -6.419 -2.099 2.542" Properties=species:S:1:pos:R:3 pbc="T T T"
Mo 2.630 2.561 1.258
Se 4.891 1.875 0.000
Se 1.407 0.539 0.000
Si 3.548 0.167 1.284
```

Properties
**ΔE_f (raw)**: -0.074 eV per atom
**Magnetic moment**: 0.22 μB/atom
**Space group**: Immm
**Final energy**: -23.5 eV per cell